(1)
SrCaLaBiO6 | Alexandria | PBE | relaxed; V = 15.41 A^3/atom
1.0
6.135 0.000 0.000
0.000 5.902 -0.010
0.000 5.900 8.501
Sr Ca La Bi O
2 2 2 2 12
Cartesian
1.826 5.979 6.379 Sr
4.310 3.029 2.129 Sr
1.560 2.943 0.005 Ca
4.575 5.893 4.255 Ca
4.957 8.738 6.410 La
1.178 5.788 2.159 La
4.586 5.897 -0.005 Bi
1.550 8.847 4.245 Bi
2.767 4.882 0.558 O
5.978 4.117 3.665 O
0.157 7.067 7.915 O
3.369 7.832 4.808 O
5.798 4.205 0.438 O
2.668 4.698 3.737 O
3.468 7.648 7.988 O
0.338 7.155 4.688 O
1.184 9.464 6.269 O
4.306 5.140 6.493 O
1.829 2.190 2.243 O
4.951 6.514 2.018 O

(2)
SrCaLaBiO6 | Alexandria | PBE | relaxed; V = 15.56 A^3/atom
1.0
-4.546 1.426 3.708
-1.840 5.732 0.455
-5.347 1.643 -2.272
Sr Ca La Bi O
1 1 1 1 6
Cartesian
-2.933 2.200 0.473 Sr
-5.866 4.401 0.946 Ca
-8.800 6.601 1.418 La
0.000 0.000 0.000 Bi
-3.803 5.083 0.694 O
-7.930 3.718 1.197 O
-6.543 5.925 -0.471 O
-5.190 2.876 2.362 O
-5.600 2.987 -0.704 O
-6.133 5.814 2.595 O

How do the energies compare? Relative to the most stable structure, in meV/atom: (1) 0; (2) 249.

(1)
LiCaBi3 | Alexandria | PBE | relaxed; V = 29.80 A^3/atom
1.0
5.301 0.000 0.000
0.000 5.301 0.000
0.000 0.000 5.301
Ca Bi Li
1 3 1
Cartesian
2.651 2.651 2.651 Ca
0.000 2.651 0.000 Bi
0.000 0.000 2.651 Bi
2.651 0.000 0.000 Bi
0.000 0.000 0.000 Li

(2)
LiCaBi3 | Alexandria | PBE | relaxed; V = 40.58 A^3/atom
1.0
-4.894 2.936 1.401
0.164 -2.304 5.403
3.249 4.539 1.837
Ca Bi Li
1 3 1
Cartesian
0.000 0.000 0.000 Ca
0.082 -1.152 2.701 Bi
1.624 2.269 0.919 Bi
-2.447 1.468 0.700 Bi
-0.740 2.585 4.320 Li

How do the energies compare? Relative to the most stable structure, in meV/atom: (1) 0; (2) 484.

(1)
LiCaTlBi | Alexandria | PBE | relaxed; V = 27.62 A^3/atom
1.0
5.386 0.000 0.000
2.693 4.664 0.000
2.693 1.555 4.398
Tl Ca Bi Li
1 1 1 1
Cartesian
2.693 1.555 1.099 Tl
5.386 3.110 2.199 Ca
8.079 4.664 3.298 Bi
0.000 0.000 0.000 Li

(2)
LiCaTlBi | Alexandria | PBE | relaxed; V = 27.59 A^3/atom
1.0
5.049 0.000 0.000
0.000 5.049 -0.002
-2.524 -2.526 4.331
Li Ca Tl Bi
1 1 1 1
Cartesian
0.000 2.523 2.164 Li
2.524 -0.001 2.165 Ca
0.000 -0.003 4.331 Tl
0.000 0.001 0.000 Bi

How do the energies compare? Relative to the most stable structure, in meV/atom: (1) 7; (2) 0.